A plane-wave DFT calculation with SCAN was carried out for a crystal of ScGeTe2 relaxed with PBEsol.

Properties
total magnetic moment: 0.0 μB per formula unit
DFT total energy: -109.6 eV per cell
E_form (uncorrected): -0.4352 eV/atom

```
ScGeTe2
1.0
3.781 0.000 0.000
1.891 3.275 0.000
1.891 1.092 9.409
Te Sc Ge
2 1 1
Direct
0.898 0.898 0.307
0.102 0.102 0.693
0.500 0.500 0.500
0.000 0.000 0.000
```